# LaCe3Ho2Sb6

A relaxed LaCe3Ho2Sb6 crystal (GGA-PBE, Alexandria via LeMat-Bulk).

Output
Uncorrected formation energy: -106.1 kJ/mol of atoms

Structure (CIF):
```
data_LaCe3Ho2Sb6
_space_group_name_H-M_alt 'C 1 2/m 1'
_space_group_IT_number 12
_space_group_name_Hall '-C 2y'
_cell_length_a 7.7610
_cell_length_b 13.4448
_cell_length_c 7.7642
_cell_angle_alpha 90.00
_cell_angle_beta 109.51
_cell_angle_gamma 90.00
loop_
_atom_site_label
_atom_site_fract_x
_atom_site_fract_y
_atom_site_fract_z
La1 0.0000 0.0000 0.0000
Ce1 0.0000 0.1636 0.5000
Ce2 0.0000 0.5000 0.5000
Ho1 0.0000 0.3323 0.0000
Sb1 0.2396 0.5000 0.2450
Sb2 0.2462 0.3293 0.7514
```


# LaCeHo2Sb4

A relaxed LaCeHo2Sb4 crystal (GGA-PBE, Alexandria via LeMat-Bulk).

Output
Uncorrected formation energy: -109.3 kJ/mol of atoms

Structure (CIF):
```
data_LaCeHo2Sb4
_space_group_name_H-M_alt 'P 1 2/m 1'
_space_group_IT_number 10
_space_group_name_Hall '-P 2y'
_cell_length_a 7.7142
_cell_length_b 4.4707
_cell_length_c 7.7511
_cell_angle_alpha 90.00
_cell_angle_beta 109.48
_cell_angle_gamma 90.00
loop_
_atom_site_label
_atom_site_fract_x
_atom_site_fract_y
_atom_site_fract_z
La1 0.0000 0.0000 0.0000
Ce1 0.0000 0.5000 0.5000
Ho1 0.5000 0.0000 0.5000
Ho2 0.5000 0.5000 0.0000
Sb1 0.2598 0.0000 0.7500
Sb2 0.2619 0.5000 0.2576
```


# La2Ce3HoSb6

A relaxed La2Ce3HoSb6 crystal (GGA-PBE, Alexandria via LeMat-Bulk).

Output
Uncorrected formation energy: -108.7 kJ/mol of atoms

Structure (CIF):
```
data_La2Ce3HoSb6
_space_group_name_H-M_alt 'C 1 2/m 1'
_space_group_IT_number 12
_space_group_name_Hall '-C 2y'
_cell_length_a 7.8307
_cell_length_b 13.5668
_cell_length_c 7.8431
_cell_angle_alpha 90.00
_cell_angle_beta 109.49
_cell_angle_gamma 90.00
loop_
_atom_site_label
_atom_site_fract_x
_atom_site_fract_y
_atom_site_fract_z
La1 0.0000 0.1655 0.0000
Ce1 0.0000 0.0000 0.5000
Ce2 0.0000 0.3304 0.5000
Ho1 0.0000 0.5000 0.0000
Sb1 0.2396 0.5000 0.7450
Sb2 0.2461 0.3373 0.2514
```


# LaCeHoSc

A relaxed LaCeHoSc crystal (GGA-PBE, Alexandria via LeMat-Bulk).

Output
E_form: 0.1429 eV per atom

Structure (CIF):
```
data_LaCeHoSc
_space_group_name_H-M_alt 'F -4 3 m'
_space_group_IT_number 216
_space_group_name_Hall 'F -4 2 3'
_cell_length_a 7.9175
_cell_length_b 7.9175
_cell_length_c 7.9175
_cell_angle_alpha 90.00
_cell_angle_beta 90.00
_cell_angle_gamma 90.00
loop_
_atom_site_label
_atom_site_fract_x
_atom_site_fract_y
_atom_site_fract_z
La1 0.0000 0.0000 0.0000
Ce1 0.0000 0.0000 0.5000
Ho1 0.2500 0.2500 0.2500
Sc1 0.2500 0.2500 0.7500
```


# La3CeHo3Se8

A relaxed La3CeHo3Se8 crystal (GGA-PBE, Alexandria via LeMat-Bulk).

Output
Uncorrected formation energy: -182.0 kJ/mol of atoms

Structure (CIF):
```
data_La3CeHo3Se8
_space_group_name_H-M_alt 'R -3 m'
_space_group_IT_number 166
_space_group_name_Hall '-R 3 2"'
_cell_length_a 8.3016
_cell_length_b 8.3016
_cell_length_c 20.7353
_cell_angle_alpha 90.00
_cell_angle_beta 90.00
_cell_angle_gamma 120.00
loop_
_atom_site_label
_atom_site_fract_x
_atom_site_fract_y
_atom_site_fract_z
La1 0.0000 0.5000 0.0000
Ce1 0.0000 0.0000 0.5000
Ho1 0.0000 0.5000 0.5000
Se1 0.0000 0.0000 0.2436
Se2 0.0144 0.5072 0.7533
```


# La2Ce3HoSe6

A relaxed La2Ce3HoSe6 crystal (GGA-PBE, Alexandria via LeMat-Bulk).

Output
Uncorrected formation energy: -179.4 kJ/mol of atoms

Structure (CIF):
```
data_La2Ce3HoSe6
_space_group_name_H-M_alt 'C 1 2/m 1'
_space_group_IT_number 12
_space_group_name_Hall '-C 2y'
_cell_length_a 7.2954
_cell_length_b 12.6444
_cell_length_c 7.3279
_cell_angle_alpha 90.00
_cell_angle_beta 109.45
_cell_angle_gamma 90.00
loop_
_atom_site_label
_atom_site_fract_x
_atom_site_fract_y
_atom_site_fract_z
La1 0.0000 0.1659 0.0000
Ce1 0.0000 0.0000 0.5000
Ce2 0.0000 0.3287 0.5000
Ho1 0.0000 0.5000 0.0000
Se1 0.2368 0.5000 0.7469
Se2 0.2431 0.3390 0.2478
```


# LaCe2HoSe4

A relaxed LaCe2HoSe4 crystal (GGA-PBE, Alexandria via LeMat-Bulk).

Output
Uncorrected formation energy: -177.1 kJ/mol of atoms

Structure (CIF):
```
data_LaCe2HoSe4
_space_group_name_H-M_alt 'P 1 2/m 1'
_space_group_IT_number 10
_space_group_name_Hall '-P 2y'
_cell_length_a 7.2763
_cell_length_b 4.1718
_cell_length_c 7.3031
_cell_angle_alpha 90.00
_cell_angle_beta 109.13
_cell_angle_gamma 90.00
loop_
_atom_site_label
_atom_site_fract_x
_atom_site_fract_y
_atom_site_fract_z
La1 0.0000 0.0000 0.0000
Ce1 0.0000 0.5000 0.5000
Ce2 0.5000 0.0000 0.5000
Ho1 0.5000 0.5000 0.0000
Se1 0.2600 0.5000 0.2494
Se2 0.2624 0.0000 0.7577
```


# La3Ce2HoSe6

A relaxed La3Ce2HoSe6 crystal (GGA-PBE, Alexandria via LeMat-Bulk).

Output
Uncorrected formation energy: -182.7 kJ/mol of atoms

Structure (CIF):
```
data_La3Ce2HoSe6
_space_group_name_H-M_alt 'C 1 2/m 1'
_space_group_IT_number 12
_space_group_name_Hall '-C 2y'
_cell_length_a 7.3171
_cell_length_b 12.6895
_cell_length_c 7.3619
_cell_angle_alpha 90.00
_cell_angle_beta 109.44
_cell_angle_gamma 90.00
loop_
_atom_site_label
_atom_site_fract_x
_atom_site_fract_y
_atom_site_fract_z
La1 0.0000 0.0000 0.0000
La2 0.0000 0.3312 0.0000
Ce1 0.0000 0.1661 0.5000
Ho1 0.0000 0.5000 0.5000
Se1 0.2418 0.3369 0.7372
Se2 0.2457 0.5000 0.2600
```


# LaCeSmHo

A relaxed LaCeSmHo crystal (GGA-PBE, Alexandria via LeMat-Bulk).

Output
E_form: 0.2000 eV per atom

Structure (CIF):
```
data_LaCeSmHo
_space_group_name_H-M_alt 'F -4 3 m'
_space_group_IT_number 216
_space_group_name_Hall 'F -4 2 3'
_cell_length_a 8.1461
_cell_length_b 8.1461
_cell_length_c 8.1461
_cell_angle_alpha 90.00
_cell_angle_beta 90.00
_cell_angle_gamma 90.00
loop_
_atom_site_label
_atom_site_fract_x
_atom_site_fract_y
_atom_site_fract_z
La1 0.0000 0.0000 0.0000
Ce1 0.2500 0.2500 0.2500
Sm1 0.0000 0.0000 0.5000
Ho1 0.2500 0.2500 0.7500
```


# LaCeHoSn

A relaxed LaCeHoSn crystal (GGA-PBE, Alexandria via LeMat-Bulk).

Output
E_form: -0.1983 eV per atom

Structure (CIF):
```
data_LaCeHoSn
_space_group_name_H-M_alt 'F -4 3 m'
_space_group_IT_number 216
_space_group_name_Hall 'F -4 2 3'
_cell_length_a 7.7251
_cell_length_b 7.7251
_cell_length_c 7.7251
_cell_angle_alpha 90.00
_cell_angle_beta 90.00
_cell_angle_gamma 90.00
loop_
_atom_site_label
_atom_site_fract_x
_atom_site_fract_y
_atom_site_fract_z
La1 0.0000 0.0000 0.0000
Ce1 0.2500 0.2500 0.2500
Ho1 0.2500 0.2500 0.7500
Sn1 0.0000 0.0000 0.5000
```


# LaTb6Ce2Ho3

A relaxed LaTb6Ce2Ho3 crystal (GGA-PBE, Alexandria via LeMat-Bulk).

Output
E_form: 0.0510 eV per atom

Structure (CIF):
```
data_LaTb6Ce2Ho3
_space_group_name_H-M_alt 'C 1 2/m 1'
_space_group_IT_number 12
_space_group_name_Hall '-C 2y'
_cell_length_a 6.1567
_cell_length_b 10.6667
_cell_length_c 11.7969
_cell_angle_alpha 90.00
_cell_angle_beta 100.03
_cell_angle_gamma 90.00
loop_
_atom_site_label
_atom_site_fract_x
_atom_site_fract_y
_atom_site_fract_z
La1 0.0000 0.0000 0.0000
Tb1 0.2471 0.3316 0.7486
Tb2 0.2477 0.5000 0.2514
Ce1 0.0000 0.3333 0.0000
Ho1 0.0000 0.1666 0.5000
Ho2 0.0000 0.5000 0.5000
```


# La6TbCeHo2

A relaxed La6TbCeHo2 crystal (GGA-PBE, Alexandria via LeMat-Bulk).

Output
E_form: 0.2239 eV per atom

Structure (CIF):
```
data_La6TbCeHo2
_space_group_name_H-M_alt 'C 1 2/m 1'
_space_group_IT_number 12
_space_group_name_Hall '-C 2y'
_cell_length_a 12.1725
_cell_length_b 6.8923
_cell_length_c 9.0335
_cell_angle_alpha 90.00
_cell_angle_beta 110.36
_cell_angle_gamma 90.00
loop_
_atom_site_label
_atom_site_fract_x
_atom_site_fract_y
_atom_site_fract_z
La1 0.1453 0.2412 0.3059
La2 0.1656 0.0000 0.9187
Tb1 0.0000 0.5000 0.0000
Ce1 0.0000 0.0000 0.5000
Ho1 0.1016 0.5000 0.6793
```


no.,V (Å³ per atom)
1,31.82
2,31.50
3,32.73
4,31.02
5,27.50
6,26.56
7,26.18
8,26.86
9,33.79
10,28.81
11,31.79
12,35.53